Entry 1:
{"formula": "Mg2CdAg2Bi2", "functional": "PBE", "state": "optimized geometry", "e_tot_ry_per_atom": -0.1683, "sg": "No. 139", "cell": [[5.1207, 0.0000, 0.0000], [0.0000, 5.1207, 0.0000], [-2.5604, -2.5604, 7.6368]], "species": ["Mg", "Mg", "Cd", "Ag", "Ag", "Bi", "Bi"], "fractional_positions": [[0.4026, 0.4026, 0.8052], [0.5974, 0.5974, 0.1948], [0.0000, 0.0000, 0.0000], [0.0000, 0.5000, 0.0000], [0.5000, 0.0000, 0.0000], [0.2135, 0.2135, 0.4270], [0.7865, 0.7865, 0.5730]]}

=====

Entry 2:
{"formula": "NaCd2AgBi", "functional": "PBE", "state": "optimized geometry", "e_tot_ry_per_atom": -0.1176, "sg": "No. 123", "cell": [[-0.1500, 0.1834, -5.7722], [-0.0999, -5.9374, -0.1861], [-5.7743, 0.0923, 0.1530]], "species": ["Na", "Bi", "Ag", "Cd", "Cd"], "fractional_positions": [[0.0000, 0.5000, 0.0000], [0.0000, 0.0000, 0.0000], [0.5000, 0.5000, 0.5000], [0.0000, 0.0000, 0.5000], [0.5000, 0.0000, 0.0000]]}

=====

Entry 3:
{"formula": "NbCd2AgBi", "functional": "PBE", "state": "optimized geometry", "e_tot_ry_per_atom": -0.1766, "sg": "No. 123", "cell": [[-1.8400, -1.6214, -5.1531], [-0.7290, -5.3195, 1.9341], [-4.9439, 1.1840, 1.3928]], "species": ["Nb", "Bi", "Ag", "Cd", "Cd"], "fractional_positions": [[0.5000, 0.5000, 0.5000], [0.0000, 0.0000, 0.0000], [0.0000, 0.0000, 0.5000], [0.0000, 0.5000, 0.0000], [0.5000, 0.0000, 0.0000]]}

=====

Entry 4:
{"formula": "CdAgBiO4", "functional": "PBE", "state": "optimized geometry", "e_tot_ry_per_atom": -0.3406, "sg": "No. 74", "cell": [[6.5565, 0.0000, 0.0000], [-3.2782, 6.0656, -0.2785], [0.0000, -3.5220, 5.7921]], "species": ["Cd", "Cd", "Ag", "Ag", "Bi", "Bi", "O", "O", "O", "O", "O", "O", "O", "O"], "fractional_positions": [[0.8440, 0.6879, 0.0940], [0.1560, 0.3121, 0.9060], [0.5000, 0.5000, 0.5000], [0.0000, 0.5000, 0.5000], [0.5000, 0.0000, 0.5000], [0.5000, 0.0000, 0.0000], [0.7213, 0.4425, 0.6872], [0.2536, 0.9554, 0.2277], [0.7018, 0.9554, 0.2277], [0.7213, 0.4425, 0.2553], [0.2787, 0.5575, 0.7447], [0.7464, 0.0446, 0.7723], [0.2982, 0.0446, 0.7723], [0.2787, 0.5575, 0.3128]]}

=====

Entry 5:
{"formula": "Cd2AgBiOs", "functional": "PBE", "state": "optimized geometry", "e_tot_ry_per_atom": -0.2051, "sg": "No. 123", "cell": [[-0.9904, 4.9668, -0.0325], [-3.3562, -0.6448, 3.7378], [3.6791, 0.7561, 3.4339]], "species": ["Os", "Bi", "Ag", "Cd", "Cd"], "fractional_positions": [[0.0000, 0.0000, 0.5000], [0.5000, 0.5000, 0.5000], [0.0000, 0.0000, 0.0000], [0.0000, 0.5000, 0.0000], [0.5000, 0.0000, 0.0000]]}

=====

Entry 6:
{"formula": "PaCdAgBi", "functional": "PBE", "state": "optimized geometry", "e_tot_ry_per_atom": -0.3032, "sg": "No. 216", "cell": [[-1.0970, 1.8521, 4.7627], [-4.0056, -1.9766, 2.7139], [0.9040, -2.9459, 4.2216]], "species": ["Pa", "Bi", "Ag", "Cd"], "fractional_positions": [[0.2500, 0.2500, 0.2500], [0.5000, 0.5000, 0.5000], [0.0000, 0.0000, 0.0000], [0.7500, 0.7500, 0.7500]]}